{
  "formula": "BaWO4",
  "functional": "GGA+U",
  "state": "optimized geometry",
  "e_above_lowest_polymorph_ev_per_atom": 0.021,
  "m_tot_mub_per_cell": 0.0,
  "cell": [[6.8219, -0.0297, 0.0000], [-2.8970, 6.1763, 0.0000], [-1.9624, -3.0733, 5.7657]],
  "species": ["O", "O", "O", "O", "W", "Ba", "O", "O", "W", "O", "Ba", "O"],
  "fractional_positions": [[0.4033, 0.0792, 0.6759], [0.3292, 0.1533, 0.1759], [0.4033, 0.7273, 0.3241], [0.9208, 0.5967, 0.3241], [0.2500, 0.7500, 0.5000], [0.5000, 0.5000, 0.0000], [0.8467, 0.6708, 0.8241], [0.8467, 0.0227, 0.1759], [0.0000, 0.0000, 0.0000], [0.9773, 0.1533, 0.8241], [0.7500, 0.2500, 0.5000], [0.2727, 0.5967, 0.6759]]
}